{"formula": "Th3Zn2Cd4", "functional": "PBE", "state": "optimized geometry", "dft_energy_ev_per_atom": -3.341, "spacegroup": "C2/m (12)", "dos_ef_per_ev_cell": 7.0, "e_form_mev_per_atom": -177.9, "e_above_lowest_polymorph_mev_per_atom": 34, "lattice_angstrom": [[0.515, -4.223, 2.552], [4.848, -3.255, -1.542], [5.381, 1.573, 6.338]], "species": ["Zn", "Zn", "Cd", "Cd", "Cd", "Cd", "Th", "Th", "Th"], "fractional_positions": [[0.394, 0.938, 0.274], [0.606, 0.062, 0.726], [0.718, 0.621, 0.943], [0.053, 0.278, 0.617], [0.282, 0.379, 0.057], [0.947, 0.722, 0.383], [0.000, 0.000, 0.000], [0.331, 0.677, 0.661], [0.669, 0.323, 0.339]]}